# 1
Compound: Hf6Ga2Sn
Source: Alexandria
Functional: PBE
Structure: optimized geometry

- calculated formation energy (kcal/mol of atoms) = -7.0
- magnetization (μB/f.u.) = 0.0
- D(E_F) (states/eV/f.u.) = 8.2
- crystal system = orthorhombic

Cell and atoms, written as extended XYZ:
```
18
Lattice="-4.219 4.369 5.079 4.219 -4.369 5.079 4.219 4.369 -5.079" Properties=species:S:1:pos:R:3 pbc="T T T"
Hf 4.219 -2.528 3.256
Hf 2.529 0.000 2.532
Hf 5.910 0.000 2.532
Hf 2.507 2.556 0.000
Hf 5.932 2.556 0.000
Hf 0.000 1.841 1.824
Hf 4.219 2.528 3.256
Hf -1.713 1.813 5.079
Hf 1.713 1.813 5.079
Hf -1.691 4.369 2.547
Hf 1.691 4.369 2.547
Hf 0.000 6.898 1.824
Ga 1.299 0.000 0.000
Ga 7.139 0.000 0.000
Ga 0.000 0.000 3.819
Ga 0.000 0.000 6.340
Sn 4.219 0.000 0.000
Sn 0.000 4.369 0.000
```

***

# 2
Compound: NdPdC
Source: Alexandria
Functional: PBE
Structure: optimized geometry

- calculated formation energy (kcal/mol of atoms) = -5.6
- magnetization (μB/f.u.) = 0.0
- D(E_F) (states/eV/f.u.) = 1.4
- crystal system = monoclinic

Cell and atoms, written as extended XYZ:
```
6
Lattice="3.992 -2.045 0.000 3.992 2.045 0.000 -3.835 0.000 7.426" Properties=species:S:1:pos:R:3 pbc="T T T"
Nd -0.160 0.000 1.965
Nd 4.308 0.000 5.461
Pd -1.112 0.000 7.162
Pd 5.260 0.000 0.264
C 1.547 0.000 4.084
C 2.601 0.000 3.342
```